# V3Cr3Te2O16

A relaxed structure of V3Cr3Te2O16 (PBEsol, Alexandria via LeMat-Bulk).

Lattice parameters (Å, degrees): 5.7089 5.7228 10.5492 89.39 89.11 60.17
With the nearest neighbours (Å) after each atom.
Space group P1 (No. 1)
Unique sites:
V 0.0000 0.0000 0.0000 (multiplicity 1)  4 O 1.72-1.91
V 0.1791 0.6321 0.4946 (multiplicity 1)  4 O 1.74-1.87
V 0.5055 0.4598 0.0186 (multiplicity 1)  1 O 1.70
Cr 0.1821 0.1565 0.5163 (multiplicity 1)  6 O 1.82-2.00
Cr 0.5367 0.9750 0.0308 (multiplicity 1)  6 O 1.94-1.97
Cr 0.7021 0.6365 0.5164 (multiplicity 1)  6 O 1.82-2.01
Te 0.0225 0.4687 0.2217 (multiplicity 1)  3 O 1.94-1.96
Te 0.6901 0.1484 0.7107 (multiplicity 1)  3 O 1.92-1.93
O 0.0326 0.9776 0.6231 (multiplicity 1)  1 Te 1.92, 1 Cr 1.96
O 0.0350 0.4903 0.6125 (multiplicity 1)  1 V 1.87, 2 Cr 1.95
O 0.1936 0.1334 0.1277 (multiplicity 1)  1 Te 1.94, 1 Cr 1.97, 1 V 2.13
O 0.1971 0.6400 0.1295 (multiplicity 1)  1 V 1.92, 1 Te 1.96
O 0.3371 0.3329 0.4091 (multiplicity 1)  1 V 1.74
O 0.3543 0.8080 0.4350 (multiplicity 1)  1 V 1.84, 2 Cr 1.93
O 0.3557 0.8133 0.9430 (multiplicity 1)  2 V 1.86-1.93, 1 Cr 1.94
O 0.3807 0.3063 0.9268 (multiplicity 1)  1 V 1.70
O 0.5206 0.4887 0.6224 (multiplicity 1)  1 Te 1.93, 1 Cr 1.96
O 0.5267 0.9832 0.6135 (multiplicity 1)  1 Te 1.93, 2 Cr 2.00-2.01
O 0.6932 0.6358 0.1232 (multiplicity 1)  1 Cr 1.94, 1 Te 1.94, 1 V 2.12
O 0.7072 0.1443 0.1201 (multiplicity 1)  2 V 1.91, 1 Cr 1.94
O 0.8530 0.2967 0.9143 (multiplicity 1)  1 V 1.73
O 0.8596 0.8364 0.9226 (multiplicity 1)  1 V 1.72
O 0.8742 0.3280 0.4249 (multiplicity 1)  2 Cr 1.82
O 0.8802 0.7896 0.4098 (multiplicity 1)  1 V 1.74

Summary:
VASP energy (eV per cell): -193.57
Total magnetic moment (μB per formula unit): 9.0
Theoretical density (Mg/m³): 4.6


# TaRh2Br

A relaxed structure of TaRh2Br (PBEsol, Alexandria via LeMat-Bulk).

Lattice parameters (Å, degrees): 6.2790 6.2790 6.2790 90.00 90.00 90.00
With the nearest neighbours (Å) after each atom.
Space group F-43m (No. 216)
Unique sites:
Ta 0.0000 0.0000 0.0000 (multiplicity 4)  4 Rh 2.72, 4 Br 2.72
Rh 0.0000 0.0000 0.5000 (multiplicity 4)  4 Br 2.72, 4 Rh 2.72
Rh 0.2500 0.2500 0.7500 (multiplicity 4)  4 Rh 2.72, 4 Ta 2.72
Br 0.2500 0.2500 0.2500 (multiplicity 4)  4 Ta 2.72, 4 Rh 2.72

Summary:
VASP energy (eV per cell): -117.41
Total magnetic moment (μB per formula unit): 0.0
ΔE to the lowest computed polymorph (eV per atom): 0.548
Theoretical density (Mg/m³): 12.5


# LaCdCu2I

A relaxed structure of LaCdCu2I (PBEsol, Alexandria via LeMat-Bulk).

Lattice parameters (Å, degrees): 4.8601 4.8601 5.9083 90.00 90.00 90.00
With the nearest neighbours (Å) after each atom.
Space group P4/mmm (No. 123)
Unique sites:
La 0.0000 0.0000 0.0000 (multiplicity 1)  4 Cd 3.44, 8 Cu 3.83
Cd 0.5000 0.5000 0.0000 (multiplicity 1)  2 I 2.95
Cu 0.0000 0.5000 0.5000 (multiplicity 2)  2 I 2.43
I 0.5000 0.5000 0.5000 (multiplicity 1)  4 Cu 2.43

Summary:
VASP energy (eV per cell): -13.39
Total magnetic moment (μB per formula unit): 0.0
ΔE to the lowest computed polymorph (eV per atom): 0.467
Theoretical density (Mg/m³): 6.0


# SrMoSe3

A relaxed structure of SrMoSe3 (PBEsol, Alexandria via LeMat-Bulk).

Lattice parameters (Å, degrees): 4.9585 4.9585 4.9585 90.00 90.00 90.00
With the nearest neighbours (Å) after each atom.
Space group Pm-3m (No. 221)
Unique sites:
Sr 0.0000 0.0000 0.0000 (multiplicity 1)  12 Se 3.51
Mo 0.5000 0.5000 0.5000 (multiplicity 1)  6 Se 2.48
Se 0.0000 0.5000 0.5000 (multiplicity 3)  2 Mo 2.48

Summary:
VASP energy (eV per cell): -28.75
Total magnetic moment (μB per formula unit): 0.0
Theoretical density (Mg/m³): 5.7


What did we get for energy relative to the elements, uncorrected? Answer: -1.7873; 0.3363; 0.7167; -0.7177 eV/atom, in the order shown.